This record from the Alexandria database describes a geometry-optimized Hg2PbBr structure. The functional is GGA-PBE.

The structure in POSCAR format:
```
Hg2PbBr
1.0
9.470 -0.126 -0.074
8.698 3.745 -0.074
8.698 1.733 3.321
Pb Hg Br
1 2 1
direct
0.499 0.499 0.499
0.993 0.993 0.993
0.253 0.253 0.253
0.755 0.755 0.755
```

Calculated values
- Formation energy without anion corrections: -0.20 eV per atom
- DOS at the Fermi energy: 1.6 states/eV per cell
- Relative energy among the computed polymorphs: 0.062 eV/f.u.